An optimized crystal structure of Pr5Nd4Pu. Source: Alexandria via LeMat-Bulk, functional PBE-GGA.

POSCAR file:
```
Pr5Nd4Pu
1.0
-2.083 2.845 -0.997
-8.669 -5.834 1.467
8.638 6.759 7.974
Nd Pr Pu
4 5 1
Direct
0.320 0.559 0.640
0.956 0.677 0.911
0.680 0.441 0.360
0.044 0.323 0.089
0.808 0.217 0.617
0.500 0.500 0.000
0.141 0.049 0.282
0.859 0.951 0.718
0.192 0.783 0.383
0.500 0.000 0.000
```

The space-group type is C2/m. The value obtained for the calculated formation energy is 179.2 meV/atom. For the total magnetization, the calculation gives 5.670 μB per cell.